# 1
RbLi6TaO6: relaxed, GGA-PBE.

abc: 5.333 5.333 5.333
angles: 101.07 101.07 101.07
Element x y z (fractional)
O  0.084  0.728  0.728
O  0.728  0.728  0.084
Li  0.000  0.656  0.344
Rb  0.500  0.500  0.500
Li  0.656  0.344  0.000
O  0.916  0.272  0.272
Li  0.000  0.344  0.656
Li  0.344  0.000  0.656
O  0.272  0.916  0.272
Ta  0.000  0.000  0.000
Li  0.656  0.000  0.344
Li  0.344  0.656  0.000
O  0.728  0.084  0.728
O  0.272  0.272  0.916

Computed properties:
Energy = -6.032 eV per atom
Size of the total moment = 0.000 μB per formula unit

***

# 2
Lu2BiB: relaxed, GGA-PBE.

abc: 3.681 3.681 15.740
angles: 90.00 90.00 120.00
Site moments in Bohr magnetons follow the coordinates.
Element x y z (fractional)
Lu  0.333  0.667  0.087  0.12
Lu  0.667  0.333  0.913  0.12
Bi  0.667  0.333  0.250  0.00
Lu  0.667  0.333  0.587  0.12
Bi  0.333  0.667  0.750  0.00
Lu  0.333  0.667  0.413  0.12
B  0.000  0.000  0.500  0.18
B  0.000  0.000  0.000  0.18

Computed properties:
Energy = -5.278 eV per atom
Size of the total moment = 0.562 μB per formula unit

***

# 3
SrMgCdIn2: relaxed, GGA-PBE.

abc: 7.198 7.198 7.198
angles: 141.89 141.89 55.00
Element x y z (fractional)
Cd  0.605  0.605  0.000
In  0.751  0.251  0.500
Mg  0.389  0.389  0.000
In  0.251  0.751  0.500
Sr  0.004  0.004  0.000

Computed properties:
Energy = -2.173 eV per atom

***

# 4
ZrTe2: relaxed, GGA-PBE.

abc: 6.385 7.367 3.970
angles: 90.00 90.00 90.00
Element x y z (fractional)
Te  0.275  0.849  0.500
Zr  0.000  0.000  0.000
Te  0.225  0.349  0.000
Te  0.725  0.151  0.500
Te  0.775  0.651  0.000
Zr  0.500  0.500  0.500

Computed properties:
Energy = -5.695 eV per atom
Size of the total moment = 0.005 μB per formula unit

***

# 5
Nb3BiC2: relaxed, GGA-PBE.

abc: 3.281 3.281 19.460
angles: 90.00 90.00 120.00
Element x y z (fractional)
C  0.667  0.333  0.568
Bi  0.000  0.000  0.250
Nb  0.000  0.000  0.000
C  0.333  0.667  0.432
Nb  0.667  0.333  0.123
Nb  0.000  0.000  0.500
C  0.667  0.333  0.932
C  0.333  0.667  0.068
Bi  0.000  0.000  0.750
Nb  0.333  0.667  0.623
Nb  0.333  0.667  0.877
Nb  0.667  0.333  0.377

Computed properties:
Energy = -9.066 eV per atom
Size of the total moment = 0.003 μB per formula unit

***

# 6
ZnGe: relaxed, GGA-PBE.

abc: 4.657 9.328 4.862
angles: 90.00 90.00 90.00
Element x y z (fractional)
Zn  0.329  0.991  0.500
Ge  0.833  0.145  0.500
Ge  0.790  0.501  0.500
Zn  0.999  0.344  0.000
Ge  0.290  0.333  0.500
Zn  0.829  0.842  0.500
Ge  0.333  0.689  0.500
Ge  0.523  0.152  0.000
Zn  0.526  0.843  0.000
Ge  0.023  0.681  0.000
Zn  0.499  0.490  0.000
Zn  0.026  0.990  0.000

Computed properties:
Energy = -2.733 eV per atom

***

# 7
Li2Nb2GaGeOs2: relaxed, GGA-PBE.

abc: 4.357 4.357 6.157
angles: 90.00 90.00 90.00
Element x y z (fractional)
Ga  0.500  0.500  0.000
Os  0.000  0.500  0.747
Ge  0.000  0.000  0.500
Nb  0.000  0.000  0.000
Os  0.500  0.000  0.253
Li  0.500  0.000  0.751
Li  0.000  0.500  0.249
Nb  0.500  0.500  0.500

Computed properties:
Energy = -7.080 eV per atom
Size of the total moment = 0.025 μB per formula unit

***

# 8
MoN2: relaxed, GGA-PBE.

abc: 2.917 2.917 7.744
angles: 90.00 90.00 120.00
Element x y z (fractional)
Mo  0.333  0.667  0.750
N  0.000  0.000  0.589
Mo  0.667  0.333  0.250
N  0.000  0.000  0.089
N  0.000  0.000  0.411
N  0.000  0.000  0.911

Computed properties:
Energy = -9.460 eV per atom
Size of the total moment = 0.000 μB per formula unit

***

# 9
LaPrNCl: relaxed, GGA-PBE.

abc: 3.719 3.719 14.340
angles: 90.00 90.00 120.00
Element x y z (fractional)
Pr  0.333  0.667  0.907
N  0.000  0.000  0.000
Cl  0.667  0.333  0.755
N  0.000  0.000  0.500
La  0.333  0.667  0.596
Cl  0.333  0.667  0.245
Pr  0.667  0.333  0.093
La  0.667  0.333  0.404

Computed properties:
Energy = -6.544 eV per atom
Size of the total moment = 0.006 μB per formula unit

***

# 10
DyThMg: relaxed, GGA-PBE.

abc: 5.214 5.214 5.214
angles: 60.00 60.00 60.00
Element x y z (fractional)
Dy  0.250  0.250  0.250
Th  0.750  0.750  0.750
Mg  0.000  0.000  0.000

Computed properties:
Distance to the lowest polymorph of the same formula = 0.0 kJ/mol of formula units
Size of the total moment = 0.003 μB per formula unit

***

# 11
Dy3SbAs2: relaxed, GGA-PBE.

abc: 4.183 4.183 10.372
angles: 90.00 90.00 120.00
Element x y z (fractional)
Dy  0.667  0.333  0.317
As  0.333  0.667  0.160
Dy  0.000  0.000  0.000
Dy  0.333  0.667  0.683
As  0.667  0.333  0.840
Sb  0.000  0.000  0.500

Computed properties:
Energy = -5.926 eV per atom
Size of the total moment = 0.008 μB per formula unit

***

# 12
YFeTcSb: relaxed, GGA-PBE.

abc: 4.714 4.714 4.714
angles: 60.00 60.00 60.00
Element x y z (fractional)
Fe  0.750  0.750  0.750
Sb  0.000  0.000  0.000
Tc  0.500  0.500  0.500
Y  0.250  0.250  0.250

Computed properties:
Distance to the lowest polymorph of the same formula = 105.6 kJ/mol of formula units
Size of the total moment = 4.468 μB per formula unit

***

Calculated volume for every record listed, in sequence, given in Å³/cell: 142; 185; 141; 187; 181; 211; 117; 57; 172; 100; 157; 74.